First-principles (meta-GGA SCAN) data for BaSr2Pt at its PBEsol-relaxed geometry, as listed in Alexandria via LeMat-Bulk.

```
BaSr2Pt
1.0
4.903 0.000 0.000
0.000 4.903 0.000
0.000 0.000 5.429
Ba Sr Pt
1 2 1
Cartesian
0.000 0.000 0.000 Ba
0.000 2.452 2.714 Sr
2.452 0.000 2.714 Sr
2.452 2.452 0.000 Pt
```

## Properties
Total magnetization in μB per formula unit: 0.00
ΔE_f in eV/f.u.: -0.5